No. 1
Computed, not measured: a crystal of Be2CuPd relaxed with PBEsol at the meta-GGA SCAN level of DFT. Values from VASP.

space group: I-42d (122)
energy of formation: -0.04 eV per atom

Geometry as Quantum ESPRESSO input:
```
&SYSTEM
  ibrav = 0, nat = 8, ntyp = 3
/
ATOMIC_SPECIES
Pd 106.42 Pd.upf
Be 9.01 Be.upf
Cu 63.55 Cu.upf
ATOMIC_POSITIONS crystal
Pd 0.250 0.750 0.500
Pd 0.000 0.000 0.000
Be 0.384 0.375 0.509
Be 0.866 0.875 0.491
Be 0.125 0.616 0.991
Be 0.625 0.134 0.009
Cu 0.750 0.250 0.500
Cu 0.500 0.500 0.000
CELL_PARAMETERS angstrom
4.921 -0.019 0.000
-2.375 4.310 0.000
-1.273 -2.146 4.242
```

=====

No. 2
Computed, not measured: a crystal of BeCu2Pt relaxed with PBEsol at the meta-GGA SCAN level of DFT. Values from VASP.

space group: Cm (8)
energy of formation: -0.31 eV per atom

Geometry as Quantum ESPRESSO input:
```
&SYSTEM
  ibrav = 0, nat = 4, ntyp = 3
/
ATOMIC_SPECIES
Cu 63.55 Cu.upf
Pt 195.08 Pt.upf
Be 9.01 Be.upf
ATOMIC_POSITIONS crystal
Cu 0.740 0.211 0.479
Cu 0.979 0.030 0.958
Pt 0.522 0.563 0.045
Be 0.259 0.696 0.518
CELL_PARAMETERS angstrom
2.734 0.000 0.000
0.000 4.287 -0.014
-1.367 -1.530 3.953
```

=====

Number 1: DOS at the Fermi energy 0.249 states/eV per atom. Number 2: DOS at the Fermi energy 0.271 states/eV per atom.